(1)
A crystal of Ta2W2O11 relaxed with PBEsol. Source: Alexandria, functional SCAN.

Calculated values
theoretical density: 5232 kg/m3
E_form (uncorrected): -2.5033 eV per atom
total magnetic moment: 0.0 μB per formula unit
uncorrected energy: -25.242 eV/atom

Cell lengths 7.262, 7.262, 13.883 Å; angles 111.13, 111.13, 59.68 degrees
Positions (direct):
Ta 0.234 0.234 0.272
Ta 0.431 0.081 0.041
Ta 0.766 0.766 0.728
Ta 0.919 0.569 0.959
W 0.424 0.576 0.500
W 0.488 0.047 0.512
W 0.907 0.093 0.000
W 0.953 0.512 0.488
O 0.009 0.799 0.017
O 0.025 0.186 0.149
O 0.166 0.636 0.523
O 0.189 0.257 0.524
O 0.201 0.991 0.983
O 0.211 0.358 0.003
O 0.332 0.458 0.354
O 0.364 0.834 0.477
O 0.371 0.033 0.354
O 0.442 0.126 0.183
O 0.542 0.668 0.646
O 0.545 0.275 0.528
O 0.584 0.011 0.649
O 0.642 0.789 0.997
O 0.646 0.167 0.030
O 0.725 0.455 0.472
O 0.743 0.811 0.476
O 0.814 0.975 0.851
O 0.833 0.354 0.970
O 0.874 0.558 0.817
O 0.967 0.629 0.646
O 0.989 0.416 0.351

---

(2)
A crystal of Y7Ta3O18 relaxed with PBEsol. Source: Alexandria, functional SCAN.

Calculated values
theoretical density: 6859 kg/m3
E_form (uncorrected): -3.6778 eV per atom
total magnetic moment: 0.0 μB per formula unit
uncorrected energy: -21.778 eV/atom

Cell lengths 6.349, 6.351, 18.516 Å; angles 89.89, 89.97, 70.45 degrees
Positions (direct):
Y 0.000 0.000 0.000
Y 0.001 0.035 0.601
Y 0.005 0.034 0.199
Y 0.464 0.501 0.400
Y 0.466 0.495 0.800
Y 0.485 0.018 0.301
Y 0.489 0.003 0.894
Y 0.500 0.000 0.500
Y 0.511 0.997 0.106
Y 0.515 0.982 0.699
Y 0.534 0.505 0.200
Y 0.536 0.499 0.600
Y 0.995 0.966 0.801
Y 0.999 0.965 0.399
Ta 0.000 0.500 0.500
Ta 0.001 0.498 0.089
Ta 0.002 0.498 0.704
Ta 0.500 0.500 0.000
Ta 0.998 0.502 0.296
Ta 0.999 0.502 0.911
O 0.062 0.557 0.806
O 0.066 0.567 0.399
O 0.072 0.176 0.487
O 0.073 0.176 0.714
O 0.076 0.174 0.310
O 0.079 0.173 0.893
O 0.125 0.157 0.094
O 0.131 0.598 0.999
O 0.317 0.442 0.687
O 0.325 0.424 0.513
O 0.328 0.418 0.288
O 0.331 0.450 0.104
O 0.354 0.396 0.908
O 0.361 0.859 0.802
O 0.364 0.865 0.399
O 0.370 0.869 0.599
O 0.373 0.871 0.205
O 0.386 0.832 0.991
O 0.614 0.168 0.009
O 0.627 0.129 0.795
O 0.630 0.131 0.401
O 0.636 0.135 0.601
O 0.639 0.141 0.198
O 0.646 0.604 0.092
O 0.669 0.550 0.896
O 0.672 0.582 0.712
O 0.675 0.576 0.487
O 0.683 0.558 0.313
O 0.869 0.402 0.001
O 0.875 0.843 0.906
O 0.921 0.827 0.107
O 0.924 0.826 0.690
O 0.927 0.824 0.286
O 0.928 0.824 0.513
O 0.934 0.433 0.601
O 0.938 0.443 0.194

---

> Which value of E_form (uncorrected) does entry 2 give?

-3.6778 eV per atom

---

> Which of these has the lowest uncorrected energy?

Ta2W2O11